CoPOsO after structural relaxation, computed with PBE+U.

```
8
Lattice="3.454 0.000 0.000 0.000 5.736 0.000 0.000 0.000 5.434" Properties=species:S:1:pos:R:3 pbc="T T T"
Co 0.000 0.621 0.000
Co 0.000 5.115 2.717
P 0.000 1.569 2.184
P 0.000 4.168 4.901
Os 1.727 2.659 3.195
Os 1.727 3.077 0.478
O 1.727 1.345 4.787
O 1.727 4.392 2.070
```

Output
**Total magnetization**: 2.00 μB/f.u.
**VASP energy**: -6.907 eV per atom
**Excess energy over the best structure of this formula in the dataset**: 184 meV per atom